Record 1
An optimized crystal structure of Ag2IrPt, computed with GGA-PBE.

The formation energy is 0.33 eV per atom. For the density of states at the Fermi level, the calculation gives 9.7 states/eV/cell. The total magnetization is 0.000 Bohr magnetons per cell. The energy above the lowest structure with this stoichiometry is 161 meV per atom.

It has space group Imm2 (No. 44), with a = 2.785 Å, b = 4.892 Å, c = 9.843 Å, α = 90.00°, β = 90.00° and γ = 90.00°. The distinct sites, in fractional coordinates, are Ag at (0.000, 0.000, 0.000), Ag at (0.000, 0.500, 0.232), Ir at (0.000, 0.500, 0.752) and Pt at (0.000, 0.000, 0.477).

***

Record 2
An optimized crystal structure of AgIr2Pt, computed with GGA-PBE.

The formation energy is 0.35 eV per atom. For the density of states at the Fermi level, the calculation gives 4.8 states/eV/cell. The total magnetization is 0.000 Bohr magnetons per cell. The energy above the lowest structure with this stoichiometry is 247 meV per atom.

It has space group Pmmm (No. 47), with a = 2.775 Å, b = 3.936 Å, c = 5.681 Å, α = 90.00°, β = 90.00° and γ = 90.00°. The distinct sites, in fractional coordinates, are Ag at (0.000, 0.000, 0.000), Ir at (0.500, 0.500, 0.262) and Pt at (0.000, 0.000, 0.500).

***

Record 3
An optimized crystal structure of AgIrPt2, computed with GGA-PBE.

The formation energy is 0.16 eV per atom. For the density of states at the Fermi level, the calculation gives 11.5 states/eV/cell. The total magnetization is 0.001 Bohr magnetons per cell. The energy above the lowest structure with this stoichiometry is 113 meV per atom.

It has space group Cmmm (No. 65), with a = 2.755 Å, b = 4.807 Å, c = 9.675 Å, α = 90.00°, β = 90.00° and γ = 90.00°. The distinct sites, in fractional coordinates, are Ag at (0.000, 0.000, 0.000), Ir at (0.000, 0.000, 0.500) and Pt at (0.000, 0.500, 0.258).